This record from the Alexandria database describes crystalline DyThSn2 at its relaxed geometry. The functional is GGA-PBE.

Summary:
DFT total energy: -5.4665 eV/atom
Relative energy among the computed polymorphs: 0.162 eV per atom
Formation energy: -460 meV per atom
DOS(E_F): 6.95 states/eV per cell

Lattice parameters (Å, degrees): 5.4216 5.4216 5.4216 60.00 60.00 60.00
Last column: nearest neighbours and their distance in Å.
Fractional coordinates of all 4 atoms:
1 Th 0.5000 0.5000 0.5000  8 Sn 3.32
2 Sn 0.7500 0.7500 0.7500  4 Th 3.32, 4 Dy 3.32
3 Sn 0.2500 0.2500 0.2500  4 Dy 3.32, 4 Th 3.32
4 Dy 0.0000 0.0000 0.0000  8 Sn 3.32